Density functional theory data (GGA-PBE) for an optimized crystal structure of Sm5Si2As.

abc: 7.692 7.692 8.803
angles: 115.91 115.91 90.00
Fractional positions:
Sm 0.528 0.683 0.711
Sm 0.817 0.972 0.289
Sm 0.000 0.000 0.000
Sm 0.500 0.500 0.000
Sm 0.183 0.028 0.711
Sm 0.683 0.183 0.711
Sm 0.028 0.528 0.711
Sm 0.317 0.817 0.289
Sm 0.972 0.472 0.289
Sm 0.472 0.317 0.289
Si 0.120 0.380 0.000
Si 0.620 0.120 0.000
Si 0.380 0.880 0.000
Si 0.880 0.620 0.000
As 0.750 0.750 0.500
As 0.250 0.250 0.500

Output
The value obtained for the density of states at the Fermi level is 8.7 states/eV/f.u. As for the electronic total energy: -5.634 eV/atom.


Density functional theory data (GGA-PBE) for an optimized crystal structure of Sm4SiTe2As.

abc: 4.303 7.458 7.630
angles: 108.95 90.00 90.00
Fractional positions:
Sm 0.500 0.244 0.221
Sm 0.500 0.756 0.779
Sm 0.000 0.263 0.778
Sm 0.000 0.737 0.222
Si 0.500 0.500 0.000
Te 0.500 0.000 0.500
Te 0.000 0.500 0.500
As 0.000 0.000 0.000

Output
The value obtained for the density of states at the Fermi level is 1.8 states/eV/f.u. As for the electronic total energy: -5.750 eV/atom.


Density functional theory data (GGA-PBE) for an optimized crystal structure of Sm6SiTe3As2.

abc: 4.295 8.768 9.771
angles: 104.58 102.70 90.00
Fractional positions:
Sm 0.342 0.903 0.684
Sm 0.673 0.568 0.346
Sm 0.658 0.097 0.316
Sm 0.005 0.231 0.010
Sm 0.995 0.769 0.990
Sm 0.327 0.432 0.654
Si 0.500 0.000 0.000
Te 0.500 0.500 0.000
Te 0.832 0.167 0.664
Te 0.168 0.833 0.336
As 0.833 0.666 0.666
As 0.167 0.334 0.334

Output
The value obtained for the density of states at the Fermi level is 4.1 states/eV/f.u. As for the electronic total energy: -5.780 eV/atom.


Density functional theory data (GGA-PBE) for an optimized crystal structure of Sm8SiTe4As3.

abc: 8.589 8.769 8.589
angles: 119.33 120.00 90.00
Fractional positions:
Sm 0.238 0.720 0.982
Sm 0.238 0.720 0.476
Sm 0.260 0.280 0.520
Sm 0.744 0.720 0.982
Sm 0.256 0.280 0.018
Sm 0.740 0.720 0.480
Sm 0.762 0.280 0.524
Sm 0.762 0.280 0.018
Si 0.000 0.500 0.000
Te 0.500 0.000 0.000
Te 0.500 0.000 0.500
Te 0.000 0.000 0.000
Te 0.000 0.000 0.500
As 0.500 0.500 0.000
As 0.500 0.500 0.500
As 0.000 0.500 0.500

Output
The value obtained for the density of states at the Fermi level is 5.4 states/eV/f.u. As for the electronic total energy: -5.799 eV/atom.


Density functional theory data (GGA-PBE) for an optimized crystal structure of Sm6Si2Te3As.

abc: 4.303 8.777 9.767
angles: 104.34 102.73 90.00
Fractional positions:
Sm 0.338 0.898 0.676
Sm 0.673 0.567 0.346
Sm 0.662 0.102 0.324
Sm 0.008 0.237 0.016
Sm 0.992 0.763 0.984
Sm 0.327 0.433 0.654
Si 0.833 0.667 0.667
Si 0.167 0.333 0.333
Te 0.500 0.500 0.000
Te 0.835 0.166 0.669
Te 0.165 0.834 0.331
As 0.500 0.000 0.000

Output
The value obtained for the density of states at the Fermi level is 2.5 states/eV/f.u. As for the electronic total energy: -5.708 eV/atom.


Density functional theory data (GGA-PBE) for an optimized crystal structure of SiSnAs3.

abc: 5.204 5.204 5.204
angles: 90.00 90.00 90.00
Fractional positions:
As 0.000 0.500 0.000
As 0.000 0.000 0.500
As 0.500 0.000 0.000
Si 0.500 0.500 0.500
Sn 0.000 0.000 0.000

Output
The value obtained for the density of states at the Fermi level is 5.6 states/eV/f.u. Its energy above the most stable polymorph in this dataset is 0.723 eV/atom.


Copy entry 2 word for word.
Density functional theory data (GGA-PBE) for an optimized crystal structure of Sm4SiTe2As.

abc: 4.303 7.458 7.630
angles: 108.95 90.00 90.00
Fractional positions:
Sm 0.500 0.244 0.221
Sm 0.500 0.756 0.779
Sm 0.000 0.263 0.778
Sm 0.000 0.737 0.222
Si 0.500 0.500 0.000
Te 0.500 0.000 0.500
Te 0.000 0.500 0.500
As 0.000 0.000 0.000

Output
The value obtained for the density of states at the Fermi level is 1.8 states/eV/f.u. As for the electronic total energy: -5.750 eV/atom.